Compound: MoPtPbO6
Source: the Alexandria database
Functional: GGA+U
Structure: relaxed

Cell and atoms, written as POSCAR:
```
MoPtPbO6
1.0
4.922 0.000 0.000
0.000 4.922 0.000
0.000 0.000 9.842
Mo Pt Pb O
2 2 2 12
direct
0.000 0.000 0.000 Mo
0.500 0.500 0.500 Mo
0.000 0.000 0.661 Pt
0.500 0.500 0.161 Pt
0.000 0.000 0.332 Pb
0.500 0.500 0.832 Pb
0.166 0.166 0.833 O
0.209 0.209 0.133 O
0.218 0.218 0.515 O
0.282 0.718 0.015 O
0.291 0.709 0.633 O
0.334 0.666 0.333 O
0.666 0.334 0.333 O
0.709 0.291 0.633 O
0.718 0.282 0.015 O
0.782 0.782 0.515 O
0.791 0.791 0.133 O
0.834 0.834 0.833 O
```

Calculated values
DFT total energy = -6.16 eV per atom
D(E_F) = 0.11 states/eV/f.u.
total moment = 0.00 μB per formula unit
symmetry = P4_2nm (102)